20
Lattice="-4.3138 4.3138 4.3138 4.3138 -4.3138 4.3138 4.3138 4.3138 -4.3138" Properties=species:S:1:pos:R:3 comment="GGA+U K4CaMn3F12, relaxed" total_magnetization_mub_per_cell=15.0 sg=Im-3m density_g_cm3=3.05 e_tot_ev_per_atom=-5.50 pbc="T T T"
K 2.1569 2.1569 -2.1569
K 2.1569 -2.1569 2.1569
K -2.1569 2.1569 2.1569
K 2.1569 2.1569 2.1569
Ca 0.0000 0.0000 0.0000
Mn 4.3138 0.0000 0.0000
Mn 0.0000 4.3138 0.0000
Mn 0.0000 0.0000 4.3138
F 2.2167 0.0000 0.0000
F 6.4109 0.0000 0.0000
F 4.3138 2.1569 0.0000
F 4.3138 0.0000 2.1569
F 0.0000 2.2167 0.0000
F 0.0000 0.0000 2.2167
F 2.1569 4.3138 0.0000
F 2.1569 0.0000 4.3138
F 0.0000 6.4109 0.0000
F 0.0000 0.0000 6.4109
F 0.0000 4.3138 2.1569
F 0.0000 2.1569 4.3138